This record from the Alexandria database describes a relaxed Nb3ZnPt crystal. The functional is PBE.

abc: 4.644 4.644 4.644
angles: 90.00 90.00 90.00
Space group Pm-3m (No. 221)
One atom of each set of equivalent atoms:
Nb 0.000 0.000 0.500 x3
Zn 0.000 0.000 0.000 x1
Pt 0.500 0.500 0.500 x1

=====

This record from the Alexandria database describes a relaxed Ni4Ag5 crystal. The functional is PBE.

abc: 7.6409 7.6409 5.3360
angles: 90.00 90.00 120.00
Space group P6_3/mcm (No. 193)
One atom of each set of equivalent atoms:
Ni 0.0000 0.0000 0.0000 x2
Ni 0.0000 0.3354 0.2500 x6
Ag 0.0000 0.3213 0.7500 x6
Ag 0.3333 0.6667 0.0000 x4

=====

Number 1: energy of formation from the pure elements 107.29 kJ/mol of atoms. Number 2: energy of formation from the pure elements 33.61 kJ/mol of atoms.